Entry 1:
VASP calculation (PBE-GGA) on a geometry-optimized NaCrIr2 structure.

It has space group I-42d (No. 122), with a = 7.1258 Å, b = 7.1258 Å, c = 5.2924 Å, α = 90.00°, β = 90.00° and γ = 90.00°. The distinct sites, in fractional coordinates, are Na at (0.0000, 0.0000, 0.0000), Cr at (0.0000, 0.0000, 0.5000) and Ir at (0.1924, 0.2500, 0.6250).

The calculation puts the total magnetization at 1.0 μB/f.u. The calculation puts the formation energy at 600 meV per atom. The energy above the most stable polymorph in this dataset is 167 meV per atom.

Entry 2:
VASP calculation (PBE-GGA) on a geometry-optimized Na2CrIr structure.

It has space group I-42d (No. 122), with a = 8.3200 Å, b = 8.3200 Å, c = 4.9363 Å, α = 90.00°, β = 90.00° and γ = 90.00°. The distinct sites, in fractional coordinates, are Na at (0.2206, 0.2500, 0.1250), Cr at (0.0000, 0.0000, 0.5000) and Ir at (0.0000, 0.0000, 0.0000).

The calculation puts the total magnetization at 4.0 μB/f.u. The calculation puts the formation energy at 921 meV per atom. The energy above the most stable polymorph in this dataset is 0 meV per atom.

Question: total magnetization of number 1 (NaCrIr2)?
Answer: 1.0 μB/f.u.

Question: The highest total magnetization belongs to which entry?
Answer: Na2CrIr

Question: total magnetization of number 1 (NaCrIr2)?
Answer: 1.0 μB/f.u.

Question: Among the records above, which one has the lowest total magnetization?
Answer: NaCrIr2